(1)
Density functional theory data (GGA-PBE) for Sm2Si6Rh9 after structural relaxation.

```
17
Lattice="5.654 0.000 0.000 -2.827 4.897 0.000 0.000 0.000 10.596" Properties=species:S:1:pos:R:3 pbc="T T T"
Sm 0.000 0.000 2.059
Sm 0.000 0.000 8.537
Si 0.000 3.265 1.764
Si 0.000 3.265 5.298
Si 0.000 3.265 8.832
Si 2.827 1.632 1.764
Si 2.827 1.632 5.298
Si 2.827 1.632 8.832
Rh -1.414 2.448 0.000
Rh -1.414 2.448 3.535
Rh -1.414 2.448 7.061
Rh 2.827 0.000 0.000
Rh 2.827 0.000 3.535
Rh 2.827 0.000 7.061
Rh 1.414 2.448 0.000
Rh 1.414 2.448 3.535
Rh 1.414 2.448 7.061
```

Results
space group: No. 191
DFT total energy: -7.206 eV/atom
calculated volume: 293.4 Å³/cell
DOS at the Fermi energy: 2.193 states/eV/f.u.
mass density: 7.90 g/cm3

(2)
Density functional theory data (GGA-PBE) for HgSeNF2 after structural relaxation.

```
5
Lattice="4.427 0.000 0.000 0.000 4.427 0.000 0.000 0.000 4.457" Properties=species:S:1:pos:R:3 pbc="T T T"
Hg 0.000 0.000 0.000
Se 2.214 2.214 2.228
N 0.000 0.000 2.228
F 0.000 2.214 0.000
F 2.214 0.000 0.000
```

Results
space group: No. 123
polymorph energy (0 for the lowest one): 582 meV per atom
DFT total energy: -2.601 eV/atom
calculated volume: 87.4 Å³/cell
DOS at the Fermi energy: 2.642 states/eV/f.u.
mass density: 6.30 g/cm3

Number 1: formation energy without anion corrections -19.47 kcal/mol of atoms. Number 2: formation energy without anion corrections 13.15 kcal/mol of atoms.